No. 1
A relaxed PuPaZnIr crystal. Source: the Alexandria database, functional PBE.

abc: 4.9248 4.9248 4.9248
angles: 60.00 60.00 60.00
Last column: nearest neighbours and their distance in Å.
Fractional positions:
Zn 0.0000 0.0000 0.0000  4 Pa 3.02, 4 Pu 3.02
Pu 0.7500 0.7500 0.7500  4 Ir 3.02, 4 Zn 3.02
Pa 0.2500 0.2500 0.2500  4 Ir 3.02, 4 Zn 3.02
Ir 0.5000 0.5000 0.5000  4 Pu 3.02, 4 Pa 3.02

* space group: F-43m
* total moment: 5.916 μB per cell
* E: -35.0 eV per formula unit
* V: 84 Å³/f.u.
* calculated formation energy: -0.25 eV/atom

---

No. 2
A relaxed RbPaIrS4 crystal. Source: the Alexandria database, functional PBE.

abc: 6.6197 6.0901 8.9827
angles: 90.00 102.72 90.00
Last column: nearest neighbours and their distance in Å.
Fractional positions:
Rb 0.2418 0.2500 0.0359  8 S 3.21-3.56
Rb 0.7582 0.7500 0.9641  8 S 3.21-3.56
Pa 0.7510 0.7500 0.4604  6 S 2.65-2.84
Pa 0.2490 0.2500 0.5396  6 S 2.65-2.84
S 0.0088 0.9977 0.6954  1 Ir 2.31
S 0.0088 0.5023 0.6954  1 Ir 2.31
S 0.4669 0.7500 0.6266  1 Ir 2.24
S 0.5331 0.2500 0.3734  1 Ir 2.24
S 0.5531 0.2500 0.7864  1 Ir 2.33
S 0.9912 0.4977 0.3046  1 Ir 2.31
S 0.9912 0.0023 0.3046  1 Ir 2.31
S 0.4469 0.7500 0.2136  1 Ir 2.33
Ir 0.2477 0.7500 0.3981  4 S 2.24-2.33
Ir 0.7523 0.2500 0.6019  4 S 2.24-2.33

* space group: P2_1/m
* total moment: 0.000 μB per cell
* E: -43.1 eV per formula unit
* V: 177 Å³/f.u.

---

No. 3
A relaxed Pa8ReIr5 crystal. Source: the Alexandria database, functional PBE.

abc: 7.4288 7.4288 7.4288
angles: 109.53 109.35 109.53
Last column: nearest neighbours and their distance in Å.
Fractional positions:
Pa 0.0086 0.1255 0.7479  1 Re 2.75, 2 Ir 2.77-2.78
Pa 0.7545 0.2634 0.3876  3 Ir 2.76-2.79
Pa 0.5090 0.6332 0.2455  3 Ir 2.76-2.79
Pa 0.2521 0.2607 0.3777  1 Re 2.75, 2 Ir 2.77-2.78
Pa 0.6124 0.3668 0.8758  3 Ir 2.76-2.79
Pa 0.6223 0.8745 0.8831  1 Re 2.75, 2 Ir 2.77-2.78
Pa 0.1242 0.7366 0.4910  3 Ir 2.76-2.79
Pa 0.1169 0.7393 0.9914  1 Re 2.75, 2 Ir 2.77-2.78
Ir 0.8867 0.8792 0.2529  4 Pa 2.76-2.79
Ir 0.7471 0.6338 0.6263  4 Pa 2.76-2.79
Ir 0.5000 0.0000 0.5000  4 Pa 2.79
Ir 0.3737 0.1208 0.0075  4 Pa 2.76-2.79
Ir 0.9925 0.3662 0.1133  4 Pa 2.76-2.79
Re 0.2500 0.5000 0.7500  4 Pa 2.75

* space group: I-4
* total moment: 0.000 μB per cell
* E: -140.6 eV per formula unit
* V: 316 Å³/f.u.
* calculated formation energy: -0.56 eV/atom

---

No. 4
A relaxed Pa2ReIr crystal. Source: the Alexandria database, functional PBE.

abc: 3.4114 3.4114 7.0944
angles: 90.00 90.00 90.00
Last column: nearest neighbours and their distance in Å.
Fractional positions:
Re 0.5000 0.5000 0.5000  8 Pa 2.99
Ir 0.5000 0.5000 0.0000  8 Pa 3.00
Pa 0.0000 0.0000 0.7498  4 Re 2.99, 4 Ir 3.00
Pa 0.0000 0.0000 0.2502  4 Re 2.99, 4 Ir 3.00

* polymorph energy (0 for the lowest one): 0.12 eV/f.u.
* space group: P4/mmm
* total moment: 0.000 μB per cell
* E: -41.5 eV per formula unit
* V: 83 Å³/f.u.
* calculated formation energy: -0.31 eV/atom